Entry P
The following is a DFT calculation (PBE-GGA) of LaGaRh4 after structural relaxation.

a b c (Å): 4.0951 16.3817 6.1986
angles (deg): 90.00 90.00 90.00
With the nearest neighbours (Å) after each atom.
Space group Cmcm (No. 63)
Symmetry-distinct sites (fractional):
La1 0.0000 0.0995 0.2500  11 Rh 2.88-3.12
Ga1 0.0000 0.2255 0.7500  7 Rh 2.44-2.58
Rh1 0.0000 0.0764 0.7500  1 Ga 2.44
Rh2 0.0000 0.3270 0.0393  3 Ga 2.45-2.58, 1 Rh 2.61
Rh3 0.0000 0.5000 0.0000  8 Rh 2.84-3.10, 4 La 3.04

Volume ... 17.33 Å³/atom
Density of states at the Fermi level ... 23.477 states/eV/cell

Entry Q
The following is a DFT calculation (PBE-GGA) of LaGaRh4 after structural relaxation.

a b c (Å): 7.5177 7.5177 7.5177
angles (deg): 90.00 90.00 90.00
With the nearest neighbours (Å) after each atom.
Space group F-43m (No. 216)
Symmetry-distinct sites (fractional):
La1 0.0000 0.0000 0.0000  12 Rh 3.12, 4 Ga 3.26
Ga1 0.2500 0.2500 0.7500  12 Rh 3.11, 4 La 3.26
Rh1 0.1239 0.1239 0.3761  6 Rh 2.64-2.68

Volume ... 17.70 Å³/atom
Density of states at the Fermi level ... 35.124 states/eV/cell

Most stable of them? entry P.

Entry P
The following is a DFT calculation (PBE-GGA) of La2GaRh3 after structural relaxation.

a b c (Å): 4.3496 5.3432 10.9954
angles (deg): 90.00 90.00 90.00
With the nearest neighbours (Å) after each atom.
Space group Immm (No. 71)
Symmetry-distinct sites (fractional):
La1 0.0000 0.0000 0.1809  6 Rh 2.74-3.05
Ga1 0.0000 0.0000 0.5000  6 Rh 2.57-2.67
Rh1 0.0000 0.5000 0.1241  2 Ga 2.57, 1 Rh 2.73, 2 La 2.74
Rh2 0.0000 0.5000 0.5000  2 Ga 2.67, 4 La 2.95

Volume ... 21.30 Å³/atom
Density of states at the Fermi level ... 7.137 states/eV/cell

Entry Q
The following is a DFT calculation (PBE-GGA) of La2GaRh3 after structural relaxation.

a b c (Å): 5.7823 5.7823 12.0409
angles (deg): 90.00 90.00 120.00
With the nearest neighbours (Å) after each atom.
Space group R-3m (No. 166, hexagonal axes)
Symmetry-distinct sites (fractional):
La1 0.0000 0.0000 0.1330  3 Rh 2.93, 1 La 3.20
Ga1 0.0000 0.0000 0.5000  6 Rh 2.61
Rh1 0.0000 0.5000 0.0000  2 Ga 2.61, 4 Rh 2.89

Volume ... 19.37 Å³/atom
Density of states at the Fermi level ... 9.218 states/eV/cell

Most stable of them? entry Q.

Entry P
The following is a DFT calculation (PBE-GGA) of La6GaRh2 after structural relaxation.

a b c (Å): 10.7631 5.1940 9.2800
angles (deg): 90.00 98.53 90.00
With the nearest neighbours (Å) after each atom.
Space group C2/m (No. 12)
Symmetry-distinct sites (fractional):
La1 0.0679 0.0000 0.3443  3 Rh 3.06-3.13, 1 Ga 3.17, 3 La 3.27-3.40
La2 0.1178 0.5000 0.6642  3 Rh 3.01-3.14, 2 La 3.27
La3 0.1841 0.5000 0.1002  1 Rh 2.63
Ga1 0.0000 0.0000 0.0000  6 La 3.17-3.31
Rh1 0.2308 0.5000 0.3864  1 La 2.63

Volume ... 28.50 Å³/atom
Density of states at the Fermi level ... 19.532 states/eV/cell

Entry Q
The following is a DFT calculation (PBE-GGA) of La6GaRh2 after structural relaxation.

a b c (Å): 12.3061 5.4943 9.6341
angles (deg): 90.00 126.83 90.00
With the nearest neighbours (Å) after each atom.
Space group C2/m (No. 12)
Symmetry-distinct sites (fractional):
La1 0.0147 0.0000 0.1730  2 La 3.13-3.48, 1 Ga 3.26, 2 Rh 3.35-3.39
La2 0.1286 0.5000 0.4769  1 Rh 2.71
La3 0.2075 0.5000 0.1171  3 Rh 2.90-2.96
Ga1 0.0000 0.0000 0.5000  8 La 3.24-3.26
Rh1 0.1988 0.5000 0.8031  4 La 2.71-2.96

Volume ... 28.97 Å³/atom
Density of states at the Fermi level ... 16.434 states/eV/cell

Most stable of them? entry P.

Entry P
The following is a DFT calculation (PBE-GGA) of LaZn2GaRh after structural relaxation.

a b c (Å): 4.7926 4.7926 4.7224
angles (deg): 90.00 90.00 90.00
With the nearest neighbours (Å) after each atom.
Space group P4/mmm (No. 123)
Symmetry-distinct sites (fractional):
La1 0.0000 0.0000 0.0000  8 Zn 3.36, 4 Ga 3.39
Zn1 0.0000 0.5000 0.5000  2 Rh 2.40
Ga1 0.5000 0.5000 0.0000  2 Rh 2.36
Rh1 0.5000 0.5000 0.5000  2 Ga 2.36, 4 Zn 2.40

Volume ... 21.69 Å³/atom
Density of states at the Fermi level ... 3.936 states/eV/cell

Entry Q
The following is a DFT calculation (PBE-GGA) of LaZn2GaRh after structural relaxation.

a b c (Å): 4.3629 4.5247 9.8895
angles (deg): 90.00 90.00 90.00
With the nearest neighbours (Å) after each atom.
Space group Imm2 (No. 44)
Symmetry-distinct sites (fractional):
La1 0.0000 0.0000 0.0000  4 Rh 3.14-3.51, 8 Zn 3.30-3.42, 4 Ga 3.36
Zn1 0.0000 0.0000 0.3647  1 Ga 2.52, 2 Zn 2.53, 2 Rh 2.56
Zn2 0.0000 0.5000 0.2497  2 Ga 2.53, 2 Zn 2.53
Ga1 0.0000 0.0000 0.6198  2 Rh 2.51, 3 Zn 2.52-2.53
Rh1 0.0000 0.5000 0.7290  2 Ga 2.51, 2 Zn 2.56

Volume ... 19.52 Å³/atom
Density of states at the Fermi level ... 5.976 states/eV/cell

Most stable of them? entry Q.

Entry P
The following is a DFT calculation (PBE-GGA) of La2Ga2Ru after structural relaxation.

a b c (Å): 7.0104 7.0104 4.6777
angles (deg): 90.00 90.00 90.00
With the nearest neighbours (Å) after each atom.
Space group P4/mbm (No. 127)
Symmetry-distinct sites (fractional):
La1 0.1706 0.3294 0.0000  6 Ga 3.01-3.20
Ga1 0.1386 0.6386 0.5000  2 Ru 2.71, 1 Ga 2.75, 2 La 3.01
Ru1 0.0000 0.0000 0.5000  4 Ga 2.71

Volume ... 22.99 Å³/atom
Density of states at the Fermi level ... 10.960 states/eV/cell

Entry Q
The following is a DFT calculation (PBE-GGA) of La2Ga2Ru after structural relaxation.

a b c (Å): 7.4724 7.4724 4.8323
angles (deg): 90.00 90.00 90.00
With the nearest neighbours (Å) after each atom.
Space group P4/mbm (No. 127)
Symmetry-distinct sites (fractional):
La1 0.1793 0.3207 0.0000  2 Ru 2.75
Ga1 0.1285 0.6285 0.5000  1 Ga 2.72
Ru1 0.0000 0.0000 0.0000  4 La 2.75

Volume ... 26.98 Å³/atom
Density of states at the Fermi level ... 10.530 states/eV/cell

Most stable of them? entry P.

Entry P
The following is a DFT calculation (PBE-GGA) of La2Ga2Ru after structural relaxation.

a b c (Å): 10.6278 4.6378 10.5893
angles (deg): 90.00 115.63 90.00
With the nearest neighbours (Å) after each atom.
Space group C2/m (No. 12)
Symmetry-distinct sites (fractional):
La1 0.0885 0.0000 0.3871  6 Ga 3.10-3.34
La2 0.1710 0.5000 0.1720  4 Ru 3.00-3.26, 5 Ga 3.22-3.31
Ga1 0.0874 0.0000 0.9349  3 Ru 2.56-2.57, 1 Ga 2.75
Ga2 0.1143 0.5000 0.6241  1 Ru 2.58, 1 Ga 2.70
Ru1 0.1559 0.5000 0.8829  4 Ga 2.56-2.58

Volume ... 23.53 Å³/atom
Density of states at the Fermi level ... 12.308 states/eV/cell

Entry Q
The following is a DFT calculation (PBE-GGA) of La2Ga2Ru after structural relaxation.

a b c (Å): 3.6286 3.6286 18.6253
angles (deg): 90.00 90.00 90.00
With the nearest neighbours (Å) after each atom.
Space group I4/mmm (No. 139)
Symmetry-distinct sites (fractional):
La1 0.0000 0.0000 0.0924  4 Ru 3.09, 1 La 3.44, 4 Ga 3.45
Ga1 0.0000 0.5000 0.2500  4 Ga 2.57
Ru1 0.0000 0.0000 0.5000  8 La 3.09

Volume ... 24.52 Å³/atom
Density of states at the Fermi level ... 4.995 states/eV/cell

Most stable of them? entry P.

Entry P
The following is a DFT calculation (PBE-GGA) of La4Ga2Ru after structural relaxation.

a b c (Å): 5.3720 5.3720 15.3778
angles (deg): 90.00 90.00 90.00
With the nearest neighbours (Å) after each atom.
Space group I4/mmm (No. 139)
Symmetry-distinct sites (fractional):
La1 0.0000 0.0000 0.1859  1 Ru 2.86, 1 Ga 2.97
La2 0.0000 0.5000 0.0000  2 Ru 2.69
Ga1 0.0000 0.0000 0.3792  5 La 2.97-3.27
Ru1 0.0000 0.0000 0.0000  6 La 2.69-2.86

Volume ... 31.70 Å³/atom
Density of states at the Fermi level ... 10.934 states/eV/cell

Entry Q
The following is a DFT calculation (PBE-GGA) of La4Ga2Ru after structural relaxation.

a b c (Å): 8.1872 9.2559 4.7852
angles (deg): 90.00 90.00 90.00
With the nearest neighbours (Å) after each atom.
Space group Cmmm (No. 65)
Symmetry-distinct sites (fractional):
La1 0.1805 0.0000 0.0000  1 La 2.95, 2 Ga 3.04
La2 0.2500 0.2500 0.5000  2 Ru 3.09, 4 Ga 3.24, 4 La 3.38
Ga1 0.0000 0.3317 0.0000  2 Ru 2.86, 2 La 3.04, 1 Ga 3.12
Ru1 0.0000 0.5000 0.5000  4 Ga 2.86, 4 La 3.09

Volume ... 25.90 Å³/atom
Density of states at the Fermi level ... 15.649 states/eV/cell

Most stable of them? entry Q.

Entry P
The following is a DFT calculation (PBE-GGA) of La3Ga4Ru2 after structural relaxation.

a b c (Å): 10.5180 4.6646 8.4079
angles (deg): 90.00 101.49 90.00
With the nearest neighbours (Å) after each atom.
Space group C2/m (No. 12)
Symmetry-distinct sites (fractional):
La1 0.0000 0.0000 0.0000  8 Ga 3.22-3.41
La2 0.1179 0.5000 0.6947  4 Ru 2.93-3.24, 6 Ga 3.23-3.28
Ga1 0.1021 0.0000 0.4115  3 Ru 2.54-2.58
Ga2 0.2141 0.5000 0.0848  1 Ru 2.50
Ru1 0.1861 0.5000 0.3729  4 Ga 2.50-2.58

Volume ... 22.46 Å³/atom
Density of states at the Fermi level ... 9.907 states/eV/cell

Entry Q
The following is a DFT calculation (PBE-GGA) of La3Ga4Ru2 after structural relaxation.

a b c (Å): 11.7650 10.8416 7.1290
angles (deg): 90.00 104.61 90.00
With the nearest neighbours (Å) after each atom.
Space group C2/c (No. 15)
Symmetry-distinct sites (fractional):
La1 0.0000 0.0613 0.2500  6 Ga 3.14-3.25, 4 Ru 3.21-3.41
La2 0.1473 0.3664 0.6680  1 Ru 2.67
Ga1 0.1167 0.3120 0.1324  2 Ru 2.59-2.63, 1 Ga 2.61
Ga2 0.2015 0.0860 0.6327  2 Ru 2.49-2.57, 1 Ga 2.61
Ru1 0.1983 0.1229 0.9872  4 Ga 2.49-2.63, 1 La 2.67

Volume ... 24.44 Å³/atom
Density of states at the Fermi level ... 27.335 states/eV/cell

Most stable of them? entry P.